# PBE CrReAu2, optimized geometry
# Relative energy among the computed polymorphs   0.222 eV/atom
# Formation enthalpy at 0 K   47.3 kJ/mol of atoms
# Calculated total energy   -6.667 eV per atom
# Crystal system   tetragonal
data_CrReAu2
_chemical_formula_sum 'Cr1 Re1 Au2'
_symmetry_space_group_name_H-M 'P 4/m m m'
_symmetry_Int_Tables_number 123
_symmetry_space_group_name_Hall '-P 4 2'
_cell_length_a 3.9272
_cell_length_b 3.9272
_cell_length_c 4.1315
_cell_angle_alpha 90.00
_cell_angle_beta 90.00
_cell_angle_gamma 90.00
loop_
_atom_site_label
_atom_site_fract_x
_atom_site_fract_y
_atom_site_fract_z
Cr1 0.0000 0.0000 0.0000
Re1 0.5000 0.5000 0.0000
Au1 0.0000 0.5000 0.5000